The following is a DFT calculation (PBE) of a geometry-optimized TbY4S7 structure.

a = 3.820 Å, b = 6.729 Å, c = 11.645 Å
α = 103.97°, β = 90.00°, γ = 106.49°
Positions (direct):
S 0.341 0.682 0.949
S 0.659 0.318 0.051
Y 0.700 0.400 0.813
Tb 0.888 0.776 0.579
S 0.958 0.916 0.215
S 0.500 0.000 0.499
S 0.741 0.481 0.352
S 0.259 0.517 0.648
Y 0.000 0.000 0.000
S 0.042 0.084 0.785
Y 0.300 0.600 0.188
Y 0.112 0.224 0.421

Properties
ΔE_f (raw): -2076.3 meV/atom
Magnetic moment: 0.0 μB/cell
DOS at the Fermi energy: 1.433 states/eV/f.u.
Calculated density: 4.418 g/cm3

---

The following is a DFT calculation (PBE) of a geometry-optimized ScGeAsSe2 structure.

a = 4.955 Å, b = 4.955 Å, c = 4.883 Å
α = 90.00°, β = 90.00°, γ = 90.00°
Positions (direct):
Se 0.500 0.000 0.000
Ge 0.000 0.000 0.000
Sc 0.500 0.500 0.500
As 0.000 0.000 0.500
Se 0.000 0.500 0.000

Properties
Offset from the most stable computed form: 0.095 eV/atom
ΔE_f (raw): 51.5 meV/atom
Magnetic moment: 0.0 μB/cell
DOS at the Fermi energy: 2.741 states/eV/f.u.
Calculated density: 4.854 g/cm3

---

The following is a DFT calculation (PBE) of a geometry-optimized NaGa2CuBr8 structure.

a = 6.847 Å, b = 6.847 Å, c = 9.403 Å
α = 90.00°, β = 90.00°, γ = 120.00°
Positions (direct):
Ga 0.667 0.333 0.250
Na 0.000 0.000 0.000
Br 0.300 0.982 0.675
Br 0.982 0.682 0.325
Cu 0.000 0.000 0.500
Br 0.700 0.018 0.325
Br 0.018 0.318 0.675
Br 0.682 0.700 0.675
Br 0.333 0.667 0.000
Br 0.667 0.333 0.000
Ga 0.333 0.667 0.750
Br 0.318 0.300 0.325

Properties
ΔE_f (raw): -790.7 meV/atom
Magnetic moment: 0.1 μB/cell
Calculated density: 3.763 g/cm3

---

> The highest magnetic moment belongs to which entry?

NaGa2CuBr8

---

> What is the formula in the second record?

ScGeAsSe2